1.
## ZrTi2Sn (PBE)

Data for a relaxed ZrTi2Sn crystal.

Cell and atoms, written as POSCAR:
```
ZrTi2Sn
1.0
-2.7123 1.4444 -1.7386
-2.2602 -1.7011 2.1127
0.0476 4.8816 3.9815
Ti Zr Sn
2 1 1
Direct
0.0000 0.0000 0.2544 Ti
0.0000 0.0000 0.7456 Ti
0.5000 0.5000 0.0000 Zr
0.5000 0.5000 0.5000 Sn
```

## Properties
Final energy, eV per atom: -7.29
Total magnetization, μB/cell: 0.0
Energy relative to the elements, eV per atom: -0.2065

---

2.
## FePt2 (PBE)

Data for a relaxed FePt2 crystal.

Cell and atoms, written as POSCAR:
```
FePt2
1.0
-3.5254 -1.5287 -3.6337
-2.7720 -3.8506 -2.3364
-5.6792 -0.0809 3.1536
Fe Pt
2 4
Direct
0.0003 0.0003 0.0041 Fe
0.3321 0.3321 0.3320 Fe
0.9415 0.9415 0.6022 Pt
0.2883 0.2883 0.9514 Pt
0.6634 0.6634 0.6736 Pt
0.6077 0.6077 0.2700 Pt
```

## Properties
Final energy, eV per atom: -6.99
Total magnetization, μB/cell: 7.4
Energy relative to the elements, eV per atom: -0.1454

---

3.
## NaSm4Tl5 (PBE)

Data for a relaxed NaSm4Tl5 crystal.

Cell and atoms, written as POSCAR:
```
NaSm4Tl5
1.0
-2.5578 0.1023 -2.8475
2.3190 -2.1486 -2.1603
-8.4534 -16.1738 7.0121
Sm Tl Na
4 5 1
Direct
0.0000 0.0000 0.8029 Sm
0.0000 0.0000 0.1971 Sm
0.0000 0.0000 0.6008 Sm
0.0000 0.0000 0.3992 Sm
0.5000 0.5000 0.1007 Tl
0.5000 0.5000 0.5000 Tl
0.5000 0.5000 0.2998 Tl
0.5000 0.5000 0.8993 Tl
0.5000 0.5000 0.7002 Tl
0.0000 0.0000 0.0000 Na
```

## Properties
Final energy, eV per atom: -3.52
Total magnetization, μB/cell: 0.0
Energy relative to the elements, eV per atom: -0.3188

---

4.
## NaNb2CuBi (PBE)

Data for a relaxed NaNb2CuBi crystal.

Cell and atoms, written as POSCAR:
```
NaNb2CuBi
1.0
-2.3913 -1.5636 3.8041
-4.0569 -0.9560 -2.9432
1.6147 -4.4040 -0.7952
Cu Nb Bi Na
1 2 1 1
Direct
0.5000 0.5000 0.5000 Cu
0.5000 0.0000 0.0000 Nb
0.0000 0.0000 0.5000 Nb
0.0000 0.5000 0.0000 Bi
0.0000 0.0000 0.0000 Na
```

## Properties
Final energy, eV per atom: -3.87
Total magnetization, μB/cell: 0.4
Energy relative to the elements, eV per atom: 2.0210

---

5.
## RePbW2 (PBE)

Data for a relaxed RePbW2 crystal.

Cell and atoms, written as POSCAR:
```
RePbW2
1.0
3.1131 0.0000 0.0000
0.0000 3.1131 0.0000
0.0000 0.0000 7.5624
W Pb Re
2 1 1
Direct
0.5000 0.5000 0.2108 W
0.0000 0.0000 0.9900 W
0.0000 0.0000 0.5058 Pb
0.5000 0.5000 0.7935 Re
```

## Properties
Final energy, eV per atom: -9.82
Total magnetization, μB/cell: 0.0
Energy relative to the elements, eV per atom: 0.6947

---

6.
## NaY2ThSe4 (PBE)

Data for a relaxed NaY2ThSe4 crystal.

Cell and atoms, written as POSCAR:
```
NaY2ThSe4
1.0
-2.7674 -0.6773 2.9383
5.1389 -2.6710 4.2243
2.8216 5.4024 3.9027
Se Th Na Y
4 1 1 2
Direct
0.5000 0.2426 0.7516 Se
0.0000 0.2432 0.2589 Se
0.0000 0.7568 0.7411 Se
0.5000 0.7574 0.2484 Se
0.5000 0.5000 0.0000 Th
0.0000 0.5000 0.5000 Na
0.5000 0.0000 0.5000 Y
0.0000 0.0000 0.0000 Y
```

## Properties
Final energy, eV per atom: -6.11
Total magnetization, μB/cell: 0.0
Uncorrected formation energy, eV per atom: -1.655

---

7.
## NdY12Al4N3 (PBE)

Data for a relaxed NdY12Al4N3 crystal.

Cell and atoms, written as POSCAR:
```
NdY12Al4N3
1.0
-8.0558 2.8090 0.2364
1.2330 -5.6370 6.2885
5.3390 6.5840 0.9940
Al N Y Nd
4 3 12 1
Direct
0.0000 0.5000 0.0000 Al
0.5000 0.5000 0.5000 Al
0.5000 0.0000 0.0000 Al
0.0000 0.0000 0.5000 Al
0.5000 0.5000 0.0000 N
0.0000 0.5000 0.5000 N
0.5000 0.0000 0.5000 N
0.5000 0.2500 0.7500 Y
0.0000 0.7263 0.7263 Y
0.2500 0.5000 0.7500 Y
0.0000 0.2737 0.2737 Y
0.7263 0.0000 0.7263 Y
0.5000 0.7500 0.2500 Y
0.7500 0.2500 0.5000 Y
0.7263 0.7263 0.0000 Y
0.2737 0.0000 0.2737 Y
0.2737 0.2737 0.0000 Y
0.7500 0.5000 0.2500 Y
0.2500 0.7500 0.5000 Y
0.0000 0.0000 0.0000 Nd
```

## Properties
Final energy, eV per atom: -6.49
Total magnetization, μB/cell: 1.0
Uncorrected formation energy, eV per atom: -0.373

---

8.
## In2FeAg (PBE)

Data for a relaxed In2FeAg crystal.

Cell and atoms, written as POSCAR:
```
In2FeAg
1.0
-0.9215 -4.6823 7.9261
2.1568 -4.1365 7.9896
0.1626 -1.9684 9.0386
In Fe Ag
2 1 1
Direct
0.0051 0.0051 0.0051 In
0.4949 0.4949 0.4949 In
0.7500 0.7500 0.7500 Fe
0.2500 0.2500 0.2500 Ag
```

## Properties
Final energy, eV per atom: -3.93
Relative energy among the computed polymorphs, kJ per mole of atoms: 6.5
Total magnetization, μB/cell: 2.7
Energy relative to the elements, eV per atom: 0.2717

---

9.
## Fe3AgBr9 (PBE)

Data for a relaxed Fe3AgBr9 crystal.

Cell and atoms, written as POSCAR:
```
Fe3AgBr9
1.0
4.5668 10.1384 0.8269
-4.5668 10.1384 0.8269
0.0000 9.5437 11.0590
Br Fe Ag
18 6 2
Direct
0.6777 0.8600 0.1949 Br
0.0577 0.2391 0.6212 Br
0.2040 0.5296 0.7886 Br
0.8981 0.2029 0.9681 Br
0.2391 0.0577 0.1212 Br
0.3839 0.0670 0.7531 Br
0.9961 0.7911 0.2742 Br
0.8600 0.6777 0.6949 Br
0.0670 0.3839 0.2531 Br
0.5208 0.3323 0.9227 Br
0.3323 0.5208 0.4227 Br
0.5296 0.2040 0.2886 Br
0.7165 0.5584 0.0831 Br
0.1523 0.7851 0.9123 Br
0.2029 0.8981 0.4681 Br
0.7911 0.9961 0.7742 Br
0.7851 0.1523 0.4123 Br
0.5584 0.7165 0.5831 Br
0.7858 0.9963 0.1812 Fe
0.1383 0.0770 0.7995 Fe
0.3771 0.5916 0.7900 Fe
0.5916 0.3771 0.2900 Fe
0.0770 0.1383 0.2995 Fe
0.9963 0.7858 0.6812 Fe
0.5894 0.9073 0.0333 Ag
0.9073 0.5894 0.5333 Ag
```

## Properties
Final energy, eV per atom: -3.76
Total magnetization, μB/cell: 28.0
Uncorrected formation energy, eV per atom: -0.425